(1)
The following is a DFT calculation (PBE) of a relaxed Pm3ZnCu2Pd9 crystal.

Output
* crystal system: trigonal

CIF file:
```
data_Pm3ZnCu2Pd9
_cell_length_a 7.5831
_cell_length_b 7.5831
_cell_length_c 6.1134
_cell_angle_alpha 90.00
_cell_angle_beta 90.00
_cell_angle_gamma 120.00
_symmetry_space_group_name_H-M 'P -3 m 1'
_symmetry_Int_Tables_number 164
_symmetry_space_group_name_Hall '-P 3 2"'
loop_
_atom_site_label
_atom_site_type_symbol
_atom_site_fract_x
_atom_site_fract_y
_atom_site_fract_z
Pm1 Pm 0.0000 0.0000 0.0000
Pm2 Pm 0.3333 0.6667 0.6691
Zn1 Zn 0.0000 0.0000 0.5000
Cu1 Cu 0.3333 0.6667 0.1672
Pd1 Pd 0.0000 0.5000 0.0000
Pd2 Pd 0.1660 0.3320 0.3297
```


(2)
The following is a DFT calculation (PBE) of a relaxed Pm2Zn3Cu12Pd crystal.

Output
* crystal system: trigonal

CIF file:
```
data_Pm2Zn3Cu12Pd
_cell_length_a 6.1628
_cell_length_b 6.1628
_cell_length_c 27.2718
_cell_angle_alpha 90.00
_cell_angle_beta 90.00
_cell_angle_gamma 120.00
_symmetry_space_group_name_H-M 'R -3 m'
_symmetry_Int_Tables_number 166
_symmetry_space_group_name_Hall '-R 3 2"'
loop_
_atom_site_label
_atom_site_type_symbol
_atom_site_fract_x
_atom_site_fract_y
_atom_site_fract_z
Pm1 Pm 0.0000 0.0000 0.1483
Zn1 Zn 0.0000 0.5000 0.0000
Cu1 Cu 0.0420 0.5210 0.0946
Cu2 Cu 0.0747 0.5373 0.6182
Pd1 Pd 0.0000 0.0000 0.5000
```


(3)
The following is a DFT calculation (PBE) of a relaxed Pm2ZnCu2Pd5 crystal.

Output
* crystal system: tetragonal

CIF file:
```
data_Pm2ZnCu2Pd5
_cell_length_a 9.485
_cell_length_b 9.485
_cell_length_c 3.904
_cell_angle_alpha 90.00
_cell_angle_beta 90.00
_cell_angle_gamma 90.00
_symmetry_space_group_name_H-M 'P 4/m b m'
_symmetry_Int_Tables_number 127
_symmetry_space_group_name_Hall '-P 4 2ab'
loop_
_atom_site_label
_atom_site_type_symbol
_atom_site_fract_x
_atom_site_fract_y
_atom_site_fract_z
Pm1 Pm 0.177 0.323 0.000
Zn1 Zn 0.000 0.000 0.000
Cu1 Cu 0.121 0.621 0.000
Pd1 Pd 0.000 0.500 0.500
Pd2 Pd 0.066 0.797 0.500
```


(4)
The following is a DFT calculation (PBE) of a relaxed Pm2Zn12Cu3Pd crystal.

Output
* crystal system: trigonal

CIF file:
```
data_Pm2Zn12Cu3Pd
_cell_length_a 5.8373
_cell_length_b 5.8373
_cell_length_c 33.0539
_cell_angle_alpha 90.00
_cell_angle_beta 90.00
_cell_angle_gamma 120.00
_symmetry_space_group_name_H-M 'R -3 m'
_symmetry_Int_Tables_number 166
_symmetry_space_group_name_Hall '-R 3 2"'
loop_
_atom_site_label
_atom_site_type_symbol
_atom_site_fract_x
_atom_site_fract_y
_atom_site_fract_z
Pm1 Pm 0.0000 0.0000 0.1400
Zn1 Zn 0.0033 0.5016 0.8919
Zn2 Zn 0.0373 0.5186 0.6154
Cu1 Cu 0.0000 0.5000 0.0000
Pd1 Pd 0.0000 0.0000 0.5000
```


| no. | magnetization (Bohr magnetons per cell) | DFT total energy (hartree per atom) | D(E_F) (states/eV/atom) |
| --- | --- | --- | --- |
| 1 | 0.0 | -0.1832 | 0.355 |
| 2 | 0.0 | -0.1347 | 0.368 |
| 3 | 0.0 | -0.1869 | 0.358 |
| 4 | 0.0 | -0.0887 | 0.627 |